*i*
Th2CdHg after structural relaxation. Source: Alexandria, functional PBE.

Size of the total moment   0.000 μB per formula unit
Crystal system   tetragonal

Structure (POSCAR):
```
Th2CdHg
1.0
4.846 0.000 0.000
0.000 4.846 0.000
0.000 0.000 4.671
Th Cd Hg
2 1 1
Direct
0.000 0.500 0.000 Th
0.500 0.000 0.000 Th
0.000 0.000 0.500 Cd
0.500 0.500 0.500 Hg
```



*ii*
Th2CdHg after structural relaxation. Source: Alexandria, functional PBE.

Size of the total moment   0.000 μB per formula unit
Crystal system   cubic

Structure (POSCAR):
```
Th2CdHg
1.0
0.000 3.842 3.842
3.842 0.000 3.842
3.842 3.842 0.000
Th Cd Hg
2 1 1
Direct
0.250 0.250 0.250 Th
0.750 0.750 0.750 Th
0.000 0.000 0.000 Cd
0.500 0.500 0.500 Hg
```



Relative stability in meV/atom, measured from the most stable structure: *i* 0; *ii* 51



*i*
Th2CdHg after structural relaxation. Source: Alexandria, functional PBE.

Size of the total moment   0.000 μB per formula unit
Crystal system   trigonal

Structure (POSCAR):
```
Th2CdHg
1.0
1.703 0.983 12.014
-1.703 0.983 12.014
0.000 -1.966 12.014
Th Cd Hg
2 1 1
Direct
0.092 0.092 0.092 Th
0.908 0.908 0.908 Th
0.000 0.000 0.000 Cd
0.500 0.500 0.500 Hg
```



*ii*
Th2CdHg after structural relaxation. Source: Alexandria, functional PBE.

Size of the total moment   0.000 μB per formula unit
Crystal system   tetragonal

Structure (POSCAR):
```
Th2CdHg
1.0
3.829 0.000 0.000
0.000 3.829 0.000
0.000 0.000 7.718
Th Cd Hg
2 1 1
Direct
0.000 0.000 0.249 Th
0.000 0.000 0.751 Th
0.500 0.500 0.500 Cd
0.500 0.500 0.000 Hg
```



Relative stability in meV/atom, measured from the most stable structure: *i* 281; *ii* 0



*i*
Th3Cd4Hg2 after structural relaxation. Source: Alexandria, functional PBE.

Size of the total moment   0.000 μB per formula unit
Crystal system   monoclinic

Structure (POSCAR):
```
Th3Cd4Hg2
1.0
5.584 -2.542 0.000
5.584 2.542 0.000
-4.896 0.000 8.115
Th Cd Hg
3 4 2
Direct
0.000 0.000 0.000 Th
0.331 0.331 0.335 Th
0.669 0.669 0.665 Th
0.050 0.050 0.385 Cd
0.275 0.275 0.944 Cd
0.725 0.725 0.056 Cd
0.950 0.950 0.615 Cd
0.389 0.389 0.723 Hg
0.611 0.611 0.277 Hg
```



*ii*
Th3Cd4Hg2 after structural relaxation. Source: Alexandria, functional PBE.

Size of the total moment   0.000 μB per formula unit
Crystal system   hexagonal

Structure (POSCAR):
```
Th3Cd4Hg2
1.0
7.597 0.000 0.000
-3.798 6.579 0.000
0.000 0.000 4.690
Th Cd Hg
3 4 2
Direct
0.000 0.567 0.000 Th
0.433 0.433 0.000 Th
0.567 0.000 0.000 Th
0.000 0.000 0.000 Cd
0.000 0.240 0.500 Cd
0.240 0.000 0.500 Cd
0.760 0.760 0.500 Cd
0.333 0.667 0.500 Hg
0.667 0.333 0.500 Hg
```



Relative stability in meV/atom, measured from the most stable structure: *i* 5; *ii* 0



*i*
ThCdHg3 after structural relaxation. Source: Alexandria, functional PBE.

Size of the total moment   0.000 μB per formula unit
Crystal system   monoclinic

Structure (POSCAR):
```
ThCdHg3
1.0
7.741 -2.492 0.000
7.741 2.492 0.000
-1.861 0.000 6.532
Th Cd Hg
2 2 6
Direct
0.127 0.127 0.483 Th
0.873 0.873 0.517 Th
0.478 0.478 0.280 Cd
0.522 0.522 0.720 Cd
0.084 0.084 0.931 Hg
0.279 0.279 0.218 Hg
0.339 0.339 0.787 Hg
0.661 0.661 0.213 Hg
0.721 0.721 0.782 Hg
0.916 0.916 0.069 Hg
```



*ii*
ThCdHg3 after structural relaxation. Source: Alexandria, functional PBE.

Size of the total moment   0.000 μB per formula unit
Crystal system   monoclinic

Structure (POSCAR):
```
ThCdHg3
1.0
5.214 0.000 0.000
0.000 5.230 0.000
-2.585 0.000 9.174
Th Cd Hg
2 2 6
Direct
0.151 0.250 0.301 Th
0.849 0.750 0.699 Th
0.348 0.250 0.698 Cd
0.652 0.750 0.302 Cd
0.045 0.750 0.090 Hg
0.249 0.750 0.499 Hg
0.451 0.750 0.903 Hg
0.549 0.250 0.097 Hg
0.751 0.250 0.501 Hg
0.955 0.250 0.910 Hg
```



Relative stability in meV/atom, measured from the most stable structure: *i* 17; *ii* 0